Entry 1:
## KMgSb2 (SCAN)

Data for a crystal of KMgSb2 relaxed with PBEsol.

Properties
total magnetic moment: 0.000 μB/f.u.
formation energy without anion corrections: -0.3119 eV per atom
DOS(E_F): 1.225 states/eV per cell
electronic total energy: -89.1 eV/cell

a = 3.395 Å, b = 3.395 Å, c = 9.392 Å
α = 90.00°, β = 90.00°, γ = 89.84°
Fractional positions:
Sb1 0.000 0.000 0.214
Sb2 0.000 0.000 0.786
K1 0.500 0.500 0.500
Mg1 0.500 0.500 0.000

Entry 2:
## KMgSb2 (SCAN)

Data for a crystal of KMgSb2 relaxed with PBEsol.

Properties
total magnetic moment: 0.000 μB/f.u.
formation energy without anion corrections: -0.2636 eV per atom
DOS(E_F): 3.582 states/eV per cell
electronic total energy: -177.8 eV/cell

a = 5.595 Å, b = 5.595 Å, c = 10.130 Å
α = 106.03°, β = 106.03°, γ = 90.00°
Fractional positions:
K1 0.000 0.000 0.000
K2 0.250 0.750 0.500
Mg1 0.500 0.500 0.000
Mg2 0.750 0.250 0.500
Sb1 0.125 0.256 0.750
Sb2 0.506 0.875 0.250
Sb3 0.744 0.375 0.250
Sb4 0.625 0.494 0.750